## a
Mg3IrPd2 | PBE-GGA | relaxed

## Properties
- Fermi-level density of states: 2.68 states/eV per cell
- V: 188 Å³/cell

a b c (Å): 4.482 7.083 6.253
angles (deg): 90.00 90.00 71.55
Sites, in units of the cell vectors:
Mg: 0.832 0.337 0.756
Mg: 0.500 0.000 0.244
Mg: 0.168 0.663 0.244
Mg: 0.832 0.337 0.244
Mg: 0.168 0.663 0.756
Mg: 0.500 0.000 0.756
Ir: 0.334 0.332 0.000
Ir: 0.666 0.668 0.000
Pd: 0.000 0.000 0.000
Pd: 0.000 0.000 0.500
Pd: 0.335 0.330 0.500
Pd: 0.665 0.670 0.500


## b
Mg3IrPd2 | PBE-GGA | relaxed

## Properties
- Fermi-level density of states: 1.99 states/eV per cell
- V: 95 Å³/cell

a b c (Å): 3.038 3.038 10.318
angles (deg): 90.00 90.00 90.00
Sites, in units of the cell vectors:
Mg: 0.000 0.000 0.000
Mg: 0.000 0.000 0.659
Mg: 0.000 0.000 0.341
Ir: 0.500 0.500 0.500
Pd: 0.500 0.500 0.833
Pd: 0.500 0.500 0.167


It comes down to a, which is 27 meV per atom more stable than the next structure.


## a
PmMgIr | PBE-GGA | relaxed

## Properties
- Fermi-level density of states: 1.77 states/eV per cell
- V: 67 Å³/cell

a b c (Å): 3.776 4.517 4.517
angles (deg): 120.00 90.00 90.00
Sites, in units of the cell vectors:
Mg: 0.167 0.333 0.667
Ir: 0.166 0.000 0.000
Pm: 0.667 0.667 0.333


## b
PmMgIr | PBE-GGA | relaxed

## Properties
- Fermi-level density of states: 1.16 states/eV per cell
- V: 67 Å³/cell

a b c (Å): 3.364 3.364 6.379
angles (deg): 105.29 105.29 90.00
Sites, in units of the cell vectors:
Mg: 0.035 0.035 0.071
Ir: 0.659 0.659 0.318
Pm: 0.305 0.305 0.611


## c
PmMgIr | PBE-GGA | relaxed

## Properties
- Fermi-level density of states: 2.10 states/eV per cell
- V: 148 Å³/cell

a b c (Å): 4.771 4.771 7.975
angles (deg): 72.59 72.59 60.00
Sites, in units of the cell vectors:
Pm: 0.382 0.382 0.855
Pm: 0.618 0.618 0.145
Ir: 0.249 0.249 0.254
Ir: 0.751 0.751 0.746
Mg: 0.130 0.130 0.611
Mg: 0.870 0.870 0.389


## d
PmMgIr | PBE-GGA | relaxed

## Properties
- Fermi-level density of states: 0.75 states/eV per cell
- V: 74 Å³/cell

a b c (Å): 4.715 4.715 4.715
angles (deg): 60.00 60.00 60.00
Sites, in units of the cell vectors:
Mg: 0.500 0.500 0.500
Ir: 0.250 0.250 0.250
Pm: 0.000 0.000 0.000


It comes down to d, which is 11 meV per atom more stable than the next structure.


## a
PmMg3Ir | PBE-GGA | relaxed

## Properties
- Fermi-level density of states: 5.63 states/eV per cell
- V: 229 Å³/cell

a b c (Å): 5.541 5.898 7.710
angles (deg): 90.00 114.74 90.00
Sites, in units of the cell vectors:
Pm: 0.720 0.948 0.878
Pm: 0.315 0.448 0.682
Mg: 0.874 0.448 0.166
Mg: 0.160 0.948 0.394
Mg: 0.731 0.197 0.487
Mg: 0.731 0.698 0.487
Mg: 0.304 0.697 0.074
Mg: 0.304 0.198 0.074
Ir: 0.878 0.448 0.815
Ir: 0.157 0.948 0.746


## b
PmMg3Ir | PBE-GGA | relaxed

## Properties
- Fermi-level density of states: 2.45 states/eV per cell
- V: 120 Å³/cell

a b c (Å): 4.675 4.665 5.991
angles (deg): 112.91 90.00 90.00
Sites, in units of the cell vectors:
Pm: 0.500 0.038 0.075
Mg: 0.000 0.524 0.047
Mg: 0.000 0.262 0.523
Mg: 0.500 0.753 0.505
Ir: 0.500 0.385 0.770


It comes down to a, which is 96 meV per atom more stable than the next structure.


## a
MgIrPt | PBE-GGA | relaxed

## Properties
- Fermi-level density of states: 3.97 states/eV per cell
- V: 46 Å³/cell

a b c (Å): 2.808 2.808 6.760
angles (deg): 90.00 90.00 120.00
Sites, in units of the cell vectors:
Ir: 0.000 0.000 0.009
Mg: 0.333 0.667 0.333
Pt: 0.667 0.333 0.658


## b
MgIrPt | PBE-GGA | relaxed

## Properties
- Fermi-level density of states: 3.62 states/eV per cell
- V: 46 Å³/cell

a b c (Å): 6.339 6.339 6.339
angles (deg): 154.70 154.70 36.08
Sites, in units of the cell vectors:
Ir: 0.001 0.001 0.000
Mg: 0.334 0.334 0.000
Pt: 0.665 0.665 0.000


It comes down to b, which is 62 meV per atom more stable than the next structure.


## a
MgIrPt | PBE-GGA | relaxed

## Properties
- Fermi-level density of states: 4.43 states/eV per cell
- V: 47 Å³/cell

a b c (Å): 4.875 4.875 4.875
angles (deg): 146.99 131.75 59.70
Sites, in units of the cell vectors:
Ir: 0.998 0.998 0.000
Mg: 0.334 0.334 0.000
Pt: 0.668 0.668 0.000


## b
MgIrPt | PBE-GGA | relaxed

## Properties
- Fermi-level density of states: 3.30 states/eV per cell
- V: 47 Å³/cell

a b c (Å): 7.259 7.021 2.755
angles (deg): 83.78 74.06 22.16
Sites, in units of the cell vectors:
Ir: 0.994 0.994 0.006
Mg: 0.334 0.334 0.666
Pt: 0.673 0.673 0.327


It comes down to a, which is 82 meV per atom more stable than the next structure.


## a
Pu2MgIr | PBE-GGA | relaxed

## Properties
- Fermi-level density of states: 16.04 states/eV per cell
- V: 156 Å³/cell

a b c (Å): 5.162 5.713 5.942
angles (deg): 90.00 90.00 116.86
Sites, in units of the cell vectors:
Pu: 0.390 0.780 0.949
Pu: 0.610 0.220 0.051
Pu: 0.610 0.220 0.449
Pu: 0.390 0.780 0.551
Mg: 0.080 0.160 0.750
Mg: 0.920 0.840 0.250
Ir: 0.804 0.609 0.750
Ir: 0.196 0.391 0.250


## b
Pu2MgIr | PBE-GGA | relaxed

## Properties
- Fermi-level density of states: 8.09 states/eV per cell
- V: 67 Å³/cell

a b c (Å): 5.129 3.612 3.612
angles (deg): 90.00 90.00 90.00
Each line ends with the local moment (μB).
Sites, in units of the cell vectors:
Mg: 0.500 0.500 0.500  0.00
Ir: 0.500 0.000 0.000  0.00
Pu: 0.000 0.000 0.500  0.13
Pu: 0.000 0.500 0.000  0.13


## c
Pu2MgIr | PBE-GGA | relaxed

## Properties
- Fermi-level density of states: 11.53 states/eV per cell
- V: 95 Å³/cell

a b c (Å): 3.313 3.313 8.697
angles (deg): 90.00 90.00 90.00
Each line ends with the local moment (μB).
Sites, in units of the cell vectors:
Mg: 0.500 0.500 0.500  0.00
Ir: 0.500 0.500 0.000  -0.41
Pu: 0.000 0.000 0.797  5.36
Pu: 0.000 0.000 0.203  5.36


## d
Pu2MgIr | PBE-GGA | relaxed

## Properties
- Fermi-level density of states: 10.10 states/eV per cell
- V: 84 Å³/cell

a b c (Å): 2.921 2.921 11.519
angles (deg): 82.72 82.72 60.00
Each line ends with the local moment (μB).
Sites, in units of the cell vectors:
Mg: 0.000 0.000 0.000  0.00
Ir: 0.500 0.500 0.500  -0.04
Pu: 0.094 0.094 0.718  4.73
Pu: 0.906 0.906 0.282  4.73


It comes down to c, which is 207 meV per atom more stable than the next structure.


## a
RbMgIr3 | PBE-GGA | relaxed

## Properties
- Fermi-level density of states: 5.45 states/eV per cell
- V: 109 Å³/cell

a b c (Å): 4.784 4.784 4.784
angles (deg): 90.00 90.00 90.00
Sites, in units of the cell vectors:
Mg: 0.000 0.000 0.000
Ir: 0.000 0.500 0.000
Ir: 0.000 0.000 0.500
Ir: 0.500 0.000 0.000
Rb: 0.500 0.500 0.500


## b
RbMgIr3 | PBE-GGA | relaxed

## Properties
- Fermi-level density of states: 6.12 states/eV per cell
- V: 115 Å³/cell

a b c (Å): 4.869 4.869 4.869
angles (deg): 90.00 90.00 90.00
Each line ends with the local moment (μB).
Sites, in units of the cell vectors:
Mg: 0.500 0.500 0.500  -0.01
Ir: 0.000 0.500 0.000  0.46
Ir: 0.000 0.000 0.500  0.37
Ir: 0.500 0.000 0.000  0.34
Rb: 0.000 0.000 0.000  -0.01


It comes down to a, which is 1183 meV per atom more stable than the next structure.


## a
RbMg2Ir | PBE-GGA | relaxed

## Properties
- Fermi-level density of states: 1.68 states/eV per cell
- V: 89 Å³/cell

a b c (Å): 5.017 5.017 5.017
angles (deg): 60.00 60.00 60.00
Sites, in units of the cell vectors:
Mg: 0.250 0.250 0.250
Mg: 0.750 0.750 0.750
Ir: 0.500 0.500 0.500
Rb: 0.000 0.000 0.000


## b
RbMg2Ir | PBE-GGA | relaxed

## Properties
- Fermi-level density of states: 3.30 states/eV per cell
- V: 300 Å³/cell

a b c (Å): 6.134 6.134 9.088
angles (deg): 70.28 70.28 90.00
Sites, in units of the cell vectors:
Mg: 0.875 0.125 0.250
Mg: 0.875 0.625 0.250
Mg: 0.375 0.125 0.750
Mg: 0.875 0.125 0.750
Ir: 0.000 0.000 0.000
Ir: 0.750 0.250 0.500
Rb: 0.500 0.500 0.000
Rb: 0.250 0.750 0.500


It comes down to b, which is 52 meV per atom more stable than the next structure.


## a
MgRe2Ir2 | PBE-GGA | relaxed

## Properties
- Fermi-level density of states: 5.70 states/eV per cell
- V: 163 Å³/cell

a b c (Å): 7.710 7.710 2.746
angles (deg): 90.00 90.00 90.00
Sites, in units of the cell vectors:
Re: 0.379 0.879 0.000
Re: 0.879 0.621 0.000
Re: 0.621 0.121 0.000
Re: 0.121 0.379 0.000
Mg: 0.000 0.000 0.000
Mg: 0.500 0.500 0.000
Ir: 0.170 0.670 0.500
Ir: 0.670 0.830 0.500
Ir: 0.830 0.330 0.500
Ir: 0.330 0.170 0.500


## b
MgRe2Ir2 | PBE-GGA | relaxed

## Properties
- Fermi-level density of states: 5.93 states/eV per cell
- V: 162 Å³/cell

a b c (Å): 7.674 7.674 2.750
angles (deg): 90.00 90.00 90.00
Sites, in units of the cell vectors:
Re: 0.172 0.672 0.500
Re: 0.672 0.828 0.500
Re: 0.828 0.328 0.500
Re: 0.328 0.172 0.500
Mg: 0.000 0.000 0.000
Mg: 0.500 0.500 0.000
Ir: 0.376 0.876 0.000
Ir: 0.876 0.624 0.000
Ir: 0.624 0.124 0.000
Ir: 0.124 0.376 0.000


It comes down to a, which is 39 meV per atom more stable than the next structure.


## a
MgIrRh3 | PBE-GGA | relaxed

## Properties
- Fermi-level density of states: 11.93 states/eV per cell
- V: 150 Å³/cell

a b c (Å): 2.762 8.926 7.064
angles (deg): 103.16 66.96 81.12
Sites, in units of the cell vectors:
Mg: 0.419 0.371 0.504
Mg: 0.096 0.847 0.592
Ir: 0.924 0.451 0.961
Ir: 0.592 0.767 0.135
Rh: 0.310 0.149 0.726
Rh: 0.206 0.069 0.370
Rh: 0.522 0.640 0.768
Rh: 0.372 0.252 0.112
Rh: 0.143 0.966 0.984
Rh: 0.993 0.578 0.328


## b
MgIrRh3 | PBE-GGA | relaxed

## Properties
- Fermi-level density of states: 6.02 states/eV per cell
- V: 107 Å³/cell

a b c (Å): 4.740 4.740 4.740
angles (deg): 90.00 90.00 90.00
Sites, in units of the cell vectors:
Mg: 0.500 0.500 0.500
Ir: 0.000 0.000 0.000
Rh: 0.000 0.500 0.000
Rh: 0.000 0.000 0.500
Rh: 0.500 0.000 0.000


It comes down to a, which is 1101 meV per atom more stable than the next structure.


## a
Mg4IrRh | PBE-GGA | relaxed

## Properties
- Fermi-level density of states: 1.96 states/eV per cell
- V: 120 Å³/cell

a b c (Å): 4.399 4.400 6.185
angles (deg): 90.00 90.00 90.00
Sites, in units of the cell vectors:
Mg: 0.501 0.997 0.246
Mg: 0.501 0.997 0.750
Mg: 0.001 0.497 0.750
Mg: 0.001 0.497 0.246
Ir: 0.501 0.497 0.998
Rh: 0.001 0.997 0.498


## b
Mg4IrRh | PBE-GGA | relaxed

## Properties
- Fermi-level density of states: 3.39 states/eV per cell
- V: 107 Å³/cell

a b c (Å): 3.070 7.313 4.750
angles (deg): 90.00 90.00 90.00
Sites, in units of the cell vectors:
Mg: 0.500 0.695 0.000
Mg: 0.500 0.305 0.000
Mg: 0.000 0.194 0.500
Mg: 0.000 0.806 0.500
Ir: 0.000 0.000 0.000
Rh: 0.500 0.500 0.500


It comes down to b, which is 34 meV per atom more stable than the next structure.


## a
ThMgIrRh | PBE-GGA | relaxed

## Properties
- Fermi-level density of states: 2.28 states/eV per cell
- V: 78 Å³/cell

a b c (Å): 4.799 4.799 4.799
angles (deg): 60.00 60.00 60.00
Sites, in units of the cell vectors:
Mg: 0.250 0.250 0.250
Ir: 0.000 0.000 0.000
Rh: 0.500 0.500 0.500
Th: 0.750 0.750 0.750


## b
ThMgIrRh | PBE-GGA | relaxed

## Properties
- Fermi-level density of states: 1.56 states/eV per cell
- V: 77 Å³/cell

a b c (Å): 3.710 4.581 4.516
angles (deg): 90.00 90.00 90.00
Sites, in units of the cell vectors:
Th: 0.000 0.500 0.500
Mg: 0.000 0.000 0.000
Ir: 0.500 0.500 0.000
Rh: 0.500 0.000 0.500


It comes down to b, which is 45 meV per atom more stable than the next structure.